(1)
Lu3Ga5Co: single point on PBEsol structure, meta-GGA SCAN.

Calculated values
Energy of formation ... -67.5 kJ per mole of atoms
Calculated volume ... 17.577 A^3/atom

```
data_Lu3Ga5Co
_cell_length_a 6.6890
_cell_length_b 6.6890
_cell_length_c 4.0825
_cell_angle_alpha 90.00
_cell_angle_beta 90.00
_cell_angle_gamma 120.00
_symmetry_space_group_name_H-M 'P -6 2 m'
_symmetry_Int_Tables_number 189
_symmetry_space_group_name_Hall 'P -6 -2'
loop_
_atom_site_label
_atom_site_fract_x
_atom_site_fract_y
_atom_site_fract_z
_atom_site_occupancy
Lu1 0.0000 0.5965 0.0000 1
Ga1 0.0000 0.2331 0.5000 1
Ga2 0.3333 0.6667 0.5000 1
Co1 0.0000 0.0000 0.0000 1
```

(2)
Lu2Ga3Co: single point on PBEsol structure, meta-GGA SCAN.

Calculated values
Energy of formation ... -58.3 kJ per mole of atoms
Calculated volume ... 16.659 A^3/atom

```
data_Lu2Ga3Co
_cell_length_a 5.3039
_cell_length_b 5.3039
_cell_length_c 8.2055
_cell_angle_alpha 90.00
_cell_angle_beta 90.00
_cell_angle_gamma 120.00
_symmetry_space_group_name_H-M 'P 63/m m c'
_symmetry_Int_Tables_number 194
_symmetry_space_group_name_Hall '-P 6c 2c'
loop_
_atom_site_label
_atom_site_fract_x
_atom_site_fract_y
_atom_site_fract_z
_atom_site_occupancy
Lu1 0.3333 0.6667 0.0531 1
Ga1 0.1636 0.3273 0.7500 1
Co1 0.0000 0.0000 0.0000 1
```